Entry 1:
Compound: LiNi6Rh
Source: the Alexandria database
Functional: meta-GGA SCAN
Structure: single point on PBEsol structure

Its space group is Cmmm, No. 65. The calculation puts the total energy at -16.636 eV/atom. The value obtained for the calculated formation energy is 14 meV per atom.

Lattice parameters (Å, degrees): 6.0895 6.0895 9.9388 90.00 90.00 109.66
Sites, in units of the cell vectors:
Li: 0.0000 0.0000 0.2472
Li: 0.0000 0.0000 0.7528
Li: 0.2545 0.7455 0.0000
Li: 0.7455 0.2545 0.0000
Ni: 0.0000 0.0000 0.0000
Ni: 0.0000 0.0000 0.5000
Ni: 0.1209 0.3718 0.1228
Ni: 0.1209 0.3718 0.8772
Ni: 0.1244 0.3728 0.3723
Ni: 0.1244 0.3728 0.6277
Ni: 0.2495 0.7505 0.2477
Ni: 0.2495 0.7505 0.7523
Ni: 0.3718 0.1209 0.1228
Ni: 0.3718 0.1209 0.8772
Ni: 0.3728 0.1244 0.3723
Ni: 0.3728 0.1244 0.6277
Ni: 0.5000 0.5000 0.0000
Ni: 0.5000 0.5000 0.5000
Ni: 0.6272 0.8756 0.3723
Ni: 0.6272 0.8756 0.6277
Ni: 0.6282 0.8791 0.1228
Ni: 0.6282 0.8791 0.8772
Ni: 0.7505 0.2495 0.2477
Ni: 0.7505 0.2495 0.7523
Ni: 0.8756 0.6272 0.3723
Ni: 0.8756 0.6272 0.6277
Ni: 0.8791 0.6282 0.1228
Ni: 0.8791 0.6282 0.8772
Rh: 0.2479 0.7521 0.5000
Rh: 0.5000 0.5000 0.2446
Rh: 0.5000 0.5000 0.7554
Rh: 0.7521 0.2479 0.5000

=====

Entry 2:
Compound: Li2TaPb
Source: the Alexandria database
Functional: meta-GGA SCAN
Structure: single point on PBEsol structure

Its space group is P4/mmm, No. 123. The calculation puts the total energy at -36.486 eV/atom. The value obtained for the calculated formation energy is 300 meV per atom.

Lattice parameters (Å, degrees): 2.8821 2.8821 9.1755 90.00 90.00 90.00
Sites, in units of the cell vectors:
Li: 0.0000 0.0000 0.2499
Li: 0.0000 0.0000 0.7501
Ta: 0.5000 0.5000 0.0000
Pb: 0.5000 0.5000 0.5000

=====

Entry 3:
Compound: HfTaSe2Br
Source: the Alexandria database
Functional: meta-GGA SCAN
Structure: single point on PBEsol structure

The calculation puts the formation energy (no corrections) at 1.9 eV per formula unit. Its space group is P4/mmm, No. 123. As for the distance to the lowest polymorph of the same formula: 16 meV/atom. The calculation puts the total energy at -37.390 eV/atom.

Lattice parameters (Å, degrees): 4.9547 4.9547 4.9370 90.00 90.00 90.00
Sites, in units of the cell vectors:
Hf: 0.0000 0.0000 0.0000
Ta: 0.5000 0.5000 0.5000
Se: 0.0000 0.5000 0.5000
Se: 0.5000 0.0000 0.5000
Br: 0.5000 0.5000 0.0000

=====

Entry 4:
Compound: Sr5Sb2As
Source: the Alexandria database
Functional: meta-GGA SCAN
Structure: single point on PBEsol structure

The calculation puts the formation energy (no corrections) at -9.4 eV per formula unit. Its space group is Pnma, No. 62. The calculation puts the total energy at -26.939 eV/atom.

Lattice parameters (Å, degrees): 13.0253 9.7794 8.5347 90.00 90.00 90.00
Sites, in units of the cell vectors:
Sr: 0.0018 0.2500 0.0426
Sr: 0.0753 0.0359 0.6857
Sr: 0.0753 0.4641 0.6857
Sr: 0.2018 0.7500 0.3568
Sr: 0.2166 0.2500 0.3309
Sr: 0.2834 0.7500 0.8309
Sr: 0.2982 0.2500 0.8568
Sr: 0.4247 0.5359 0.1857
Sr: 0.4247 0.9641 0.1857
Sr: 0.4982 0.7500 0.5426
Sr: 0.5018 0.2500 0.4574
Sr: 0.5753 0.0359 0.8143
Sr: 0.5753 0.4641 0.8143
Sr: 0.7018 0.7500 0.1432
Sr: 0.7166 0.2500 0.1691
Sr: 0.7834 0.7500 0.6691
Sr: 0.7982 0.2500 0.6432
Sr: 0.9247 0.5359 0.3143
Sr: 0.9247 0.9641 0.3143
Sr: 0.9982 0.7500 0.9574
Sb: 0.1712 0.5094 0.0650
Sb: 0.1712 0.9906 0.0650
Sb: 0.3288 0.0094 0.5650
Sb: 0.3288 0.4906 0.5650
Sb: 0.6712 0.5094 0.4350
Sb: 0.6712 0.9906 0.4350
Sb: 0.8288 0.0094 0.9350
Sb: 0.8288 0.4906 0.9350
As: 0.0142 0.7500 0.5743
As: 0.4858 0.2500 0.0743
As: 0.5142 0.7500 0.9257
As: 0.9858 0.2500 0.4257

=====

Entry 5:
Compound: Cu4SiGe3O12
Source: the Alexandria database
Functional: meta-GGA SCAN
Structure: single point on PBEsol structure

The calculation puts the formation energy (no corrections) at -31.1 eV per formula unit. Its space group is Pmm2, No. 25. The calculation puts the total energy at -11.695 eV/atom.

Lattice parameters (Å, degrees): 2.9172 16.5168 4.8871 90.00 90.00 90.00
Sites, in units of the cell vectors:
Cu: 0.0000 0.1245 0.0000
Cu: 0.0000 0.3750 0.0116
Cu: 0.0000 0.6250 0.0116
Cu: 0.0000 0.8755 0.0000
Si: 0.5000 0.0000 0.6002
Ge: 0.5000 0.2485 0.4333
Ge: 0.5000 0.5000 0.5833
Ge: 0.5000 0.7515 0.4333
O: 0.0000 0.0000 0.4305
O: 0.0000 0.2472 0.6428
O: 0.0000 0.5000 0.3743
O: 0.0000 0.7528 0.6428
O: 0.5000 0.0822 0.7867
O: 0.5000 0.1623 0.2232
O: 0.5000 0.3371 0.2338
O: 0.5000 0.4126 0.7893
O: 0.5000 0.5874 0.7893
O: 0.5000 0.6629 0.2338
O: 0.5000 0.8377 0.2232
O: 0.5000 0.9178 0.7867

=====

Entry 6:
Compound: Y2BiH2
Source: the Alexandria database
Functional: meta-GGA SCAN
Structure: single point on PBEsol structure

Its space group is I4/mmm, No. 139. The calculation puts the total energy at -29.068 eV/atom.

Lattice parameters (Å, degrees): 6.3589 6.3589 6.3589 144.31 144.31 51.37
Sites, in units of the cell vectors:
Y: 0.1496 0.1496 0.0000
Y: 0.8504 0.8504 0.0000
Bi: 0.5000 0.5000 0.0000
H: 0.2500 0.7500 0.5000
H: 0.7500 0.2500 0.5000

=====

Entry 7:
Compound: PrMg12
Source: the Alexandria database
Functional: meta-GGA SCAN
Structure: single point on PBEsol structure

Its space group is I4/mmm, No. 139. The calculation puts the total energy at -7.974 eV/atom. The value obtained for the calculated formation energy is -50 meV per atom.

Lattice parameters (Å, degrees): 7.8180 7.8180 7.8180 98.00 98.00 136.18
Sites, in units of the cell vectors:
Pr: 0.0000 0.0000 0.0000
Mg: 0.0000 0.0000 0.5000
Mg: 0.0000 0.3517 0.3517
Mg: 0.0000 0.5000 0.0000
Mg: 0.0000 0.6483 0.6483
Mg: 0.2883 0.5000 0.7883
Mg: 0.3517 0.0000 0.3517
Mg: 0.5000 0.0000 0.0000
Mg: 0.5000 0.2883 0.7883
Mg: 0.5000 0.5000 0.5000
Mg: 0.5000 0.7117 0.2117
Mg: 0.6483 0.0000 0.6483
Mg: 0.7117 0.5000 0.2117

=====

Entry 8:
Compound: TaOsSe2
Source: the Alexandria database
Functional: meta-GGA SCAN
Structure: single point on PBEsol structure

The calculation puts the formation energy (no corrections) at -0.2 eV per formula unit. Its space group is Pm, No. 6. As for the distance to the lowest polymorph of the same formula: 0 meV/atom. The calculation puts the total energy at -44.717 eV/atom.

Lattice parameters (Å, degrees): 3.5245 3.4467 6.6066 90.00 95.99 90.00
Sites, in units of the cell vectors:
Ta: 0.0000 0.0000 0.0000
Os: 0.5903 0.5000 0.1730
Se: 0.5066 0.5000 0.7942
Se: 0.9603 0.0000 0.3852